1.
VASP calculation (PBE) on a relaxed structure of K2TeRh2S6.

The space group is C2/m (No. 12) and the conventional cell measures 6.3489, 11.2001 and 7.6392 Å, with angles of 90.00, 105.31 and 90.00 degrees. The distinct sites, in fractional coordinates, are K at (0.0000, 0.1604, 0.0000), Te at (0.0000, 0.0000, 0.5000), Rh at (0.0000, 0.3328, 0.5000), S at (0.1933, 0.5000, 0.6799) and S at (0.2345, 0.1807, 0.6759).

As for the crystal system: monoclinic.

=====

2.
VASP calculation (PBE) on a relaxed structure of AcBiPAu.

The space group is F-43m (No. 216) and the conventional cell measures 7.4633, 7.4633 and 7.4633 Å, with angles of 90.00, 90.00 and 90.00 degrees. The distinct sites, in fractional coordinates, are Ac at (0.0000, 0.0000, 0.0000), Bi at (0.0000, 0.0000, 0.5000), P at (0.2500, 0.2500, 0.7500) and Au at (0.2500, 0.2500, 0.2500).

As for the crystal system: cubic. As for the formation energy: -0.494 eV per atom.

=====

3.
VASP calculation (PBE) on a relaxed structure of Dy5Ho7Er.

The space group is Imm2 (No. 44) and the conventional cell measures 6.6277, 11.0294 and 11.4465 Å, with angles of 90.00, 90.00 and 90.00 degrees. The distinct sites, in fractional coordinates, are Dy at (0.0000, 0.0000, 0.0000), Dy at (0.2313, 0.2732, 0.0006), Ho at (0.0000, 0.0000, 0.4993), Ho at (0.0000, 0.1699, 0.7498), Ho at (0.0000, 0.1706, 0.2505), Ho at (0.0000, 0.5000, 0.4998), Ho at (0.0000, 0.5000, 0.8066) and Er at (0.0000, 0.5000, 0.1929).

As for the crystal system: orthorhombic. As for the formation energy: 0.262 eV per atom.

=====

4.
VASP calculation (PBE) on a relaxed structure of Zr2ZnSnBi.

The space group is P4/mmm (No. 123) and the conventional cell measures 5.2120, 5.2120 and 4.7187 Å, with angles of 90.00, 90.00 and 90.00 degrees. The distinct sites, in fractional coordinates, are Zr at (0.0000, 0.5000, 0.0000), Zn at (0.0000, 0.0000, 0.0000), Sn at (0.0000, 0.0000, 0.5000) and Bi at (0.5000, 0.5000, 0.5000).

As for the crystal system: tetragonal. As for the formation energy: 0.404 eV per atom.

=====

5.
VASP calculation (PBE) on a relaxed structure of Ac2TbHoS6.

The space group is R3 (No. 146, hexagonal axes) and the conventional cell measures 7.2662, 7.2662 and 18.5225 Å, with angles of 90.00, 90.00 and 120.00 degrees. The distinct sites, in fractional coordinates, are Ac at (0.0000, 0.0000, 0.0000), Ac at (0.0000, 0.0000, 0.4998), Tb at (0.0000, 0.0000, 0.2148), Ho at (0.0000, 0.0000, 0.7144), S at (0.0660, 0.7135, 0.7849) and S at (0.0672, 0.3556, 0.2855).

As for the crystal system: trigonal.

=====

6.
VASP calculation (PBE) on a relaxed structure of K2LaSc.

The space group is I-4m2 (No. 119) and the conventional cell measures 6.2515, 6.2515 and 8.8910 Å, with angles of 90.00, 90.00 and 90.00 degrees. The distinct sites, in fractional coordinates, are K at (0.0000, 0.0000, 0.0000), K at (0.0000, 0.5000, 0.2500), La at (0.0000, 0.5000, 0.7500) and Sc at (0.0000, 0.0000, 0.5000).

As for the crystal system: tetragonal. As for the formation energy: 0.721 eV per atom.

=====

| no. | energy (eV/atom) |
| --- | --- |
| 1 | -4.6251 |
| 2 | -4.6632 |
| 3 | -4.3244 |
| 4 | -4.8465 |
| 5 | -6.3302 |
| 6 | -2.6421 |